1.
Below is an optimized crystal structure of AcDy2Ti, with properties calculated at the GGA-PBE level.

Output
SG: No. 166
Spin magnetization (μB/atom): 0.49
E_form (meV per atom): 543

abc: 3.490 3.490 12.203
angles: 81.78 81.78 60.00
Atoms (fractional coordinates):
Dy  0.919  0.919  0.244
Dy  0.081  0.081  0.756
Ti  0.000  0.000  0.000
Ac  0.500  0.500  0.500

---

2.
Below is an optimized crystal structure of Au3CI, with properties calculated at the GGA-PBE level.

Output
SG: No. 221
Spin magnetization (μB/atom): 0.00
ΔE to the lowest computed polymorph (eV per formula unit): 0.00
Formation energy (no corrections) (eV/atom): 1.01

abc: 4.559 4.559 4.559
angles: 90.00 90.00 90.00
Atoms (fractional coordinates):
Au  0.500  0.000  0.000
Au  0.000  0.000  0.500
Au  0.000  0.500  0.000
I  0.500  0.500  0.500
C  0.000  0.000  0.000

---

3.
Below is an optimized crystal structure of TaRePb3, with properties calculated at the GGA-PBE level.

Output
SG: No. 221
Spin magnetization (μB/atom): 0.73
ΔE to the lowest computed polymorph (eV per formula unit): 0.00
E_form (meV per atom): 1561

abc: 5.309 5.309 5.309
angles: 90.00 90.00 90.00
Atoms (fractional coordinates):
Pb  0.000  0.500  0.000
Pb  0.000  0.000  0.500
Pb  0.500  0.000  0.000
Ta  0.500  0.500  0.500
Re  0.000  0.000  0.000

---

4.
Below is an optimized crystal structure of Si2PtRh, with properties calculated at the GGA-PBE level.

Output
SG: No. 99
Spin magnetization (μB/atom): 0.00
ΔE to the lowest computed polymorph (eV per formula unit): 0.00
Formation energy (no corrections) (eV/atom): -0.69

abc: 3.343 3.343 5.083
angles: 90.00 90.00 90.00
Atoms (fractional coordinates):
Si  0.500  0.500  0.284
Si  0.000  0.000  0.963
Rh  0.500  0.500  0.807
Pt  0.000  0.000  0.446